Material: Sm2TmP3Rh4
Method: DFT, GGA-PBE
State: optimized geometry

Properties
**Energy of formation from the pure elements**: -1090 meV/atom
**Space-group type**: P-4m2
**N(E_F)**: 5.12 states/eV per cell

Cell: 4.0016 4.0016 11.1702 Å, 90.00 90.00 90.00°
With the nearest neighbours (Å) after each atom.
Positions (direct):
Sm1 0.0000 0.5000 0.7760  4 P 3.04, 8 Rh 3.08-3.20
Sm2 0.5000 0.0000 0.2240  4 P 3.04, 8 Rh 3.08-3.20
P1 0.0000 0.0000 0.5000  4 Rh 2.73, 4 Tm 2.83
P2 0.5000 0.0000 0.8747  5 Rh 2.33-2.44
P3 0.0000 0.5000 0.1253  5 Rh 2.33-2.44
Rh1 0.0000 0.5000 0.3335  1 P 2.33
Rh2 0.0000 0.0000 0.0000  4 P 2.44
Rh3 0.5000 0.0000 0.6665  1 P 2.33
Rh4 0.5000 0.5000 0.0000  4 P 2.44
Tm1 0.5000 0.5000 0.5000  4 Rh 2.73, 4 P 2.83